# 1
# Ca2YP2 PBEsol optimized geometry
data_Ca2YP2
_cell_length_a 4.212
_cell_length_b 4.212
_cell_length_c 12.239
_cell_angle_alpha 90.00
_cell_angle_beta 90.00
_cell_angle_gamma 90.00
_space_group_name_H-M_alt 'I 4/m m m'
_space_group_IT_number 139
_space_group_name_Hall '-I 4 2'
loop_
_atom_site_label
_atom_site_type_symbol
_atom_site_fract_x
_atom_site_fract_y
_atom_site_fract_z
Ca1 Ca 0.000 0.500 0.250
Y1 Y 0.000 0.000 0.000
P1 P 0.000 0.000 0.406
# Formation enthalpy at 0 K   -0.7528 eV/atom

# 2
# ScInHg2 PBEsol optimized geometry
data_ScInHg2
_cell_length_a 3.096
_cell_length_b 4.668
_cell_length_c 6.073
_cell_angle_alpha 90.00
_cell_angle_beta 90.07
_cell_angle_gamma 90.00
_space_group_name_H-M_alt 'P 1 2/m 1'
_space_group_IT_number 10
_space_group_name_Hall '-P 2y'
loop_
_atom_site_label
_atom_site_type_symbol
_atom_site_fract_x
_atom_site_fract_y
_atom_site_fract_z
Sc1 Sc 0.000 0.000 0.000
In1 In 0.500 0.000 0.500
Hg1 Hg 0.499 0.500 0.768
# Formation enthalpy at 0 K   -0.2679 eV/atom

# 3
# BeHgRh2 PBEsol optimized geometry
data_BeHgRh2
_cell_length_a 2.8542
_cell_length_b 2.8542
_cell_length_c 23.3099
_cell_angle_alpha 90.00
_cell_angle_beta 90.00
_cell_angle_gamma 120.00
_space_group_name_H-M_alt 'R -3 m'
_space_group_IT_number 166
_space_group_name_Hall '-R 3 2"'
loop_
_atom_site_label
_atom_site_type_symbol
_atom_site_fract_x
_atom_site_fract_y
_atom_site_fract_z
Be1 Be 0.0000 0.0000 0.0000
Hg1 Hg 0.0000 0.0000 0.5000
Rh1 Rh 0.0000 0.0000 0.2660
# Formation enthalpy at 0 K   -0.0641 eV/atom
# Energy relative to the lowest polymorph listed for this composition   112.1 meV/atom

# 4
# Y4MgCo PBEsol optimized geometry
data_Y4MgCo
_cell_length_a 8.654
_cell_length_b 8.654
_cell_length_c 8.654
_cell_angle_alpha 90.00
_cell_angle_beta 90.00
_cell_angle_gamma 90.00
_space_group_name_H-M_alt 'F -4 3 m'
_space_group_IT_number 216
_space_group_name_Hall 'F -4 2 3'
loop_
_atom_site_label
_atom_site_type_symbol
_atom_site_fract_x
_atom_site_fract_y
_atom_site_fract_z
Y1 Y 0.124 0.124 0.376
Mg1 Mg 0.000 0.000 0.000
Co1 Co 0.250 0.250 0.750
# Formation enthalpy at 0 K   0.7416 eV/atom
# Energy relative to the lowest polymorph listed for this composition   886.9 meV/atom

# 5
# LaNi2Hg PBEsol optimized geometry
data_LaNi2Hg
_cell_length_a 3.633
_cell_length_b 4.117
_cell_length_c 9.766
_cell_angle_alpha 90.00
_cell_angle_beta 90.00
_cell_angle_gamma 90.00
_space_group_name_H-M_alt 'I m m 2'
_space_group_IT_number 44
_space_group_name_Hall 'I 2 -2'
loop_
_atom_site_label
_atom_site_type_symbol
_atom_site_fract_x
_atom_site_fract_y
_atom_site_fract_z
La1 La 0.000 0.000 0.000
Ni1 Ni 0.000 0.000 0.457
Ni2 Ni 0.000 0.500 0.776
Hg1 Hg 0.000 0.500 0.239
# Formation enthalpy at 0 K   -0.0761 eV/atom

# 6
# ErSeI PBEsol optimized geometry
data_ErSeI
_cell_length_a 4.113
_cell_length_b 5.542
_cell_length_c 9.136
_cell_angle_alpha 90.00
_cell_angle_beta 90.00
_cell_angle_gamma 90.00
_space_group_name_H-M_alt 'P m m n'
_space_group_IT_number 59
loop_
_space_group_symop_operation_xyz
'x,y,z'
'-x,-y,-z'
'-x+1/2,-y+1/2,z'
'x+1/2,y+1/2,-z'
'x+1/2,-y,-z'
'-x+1/2,y,z'
'-x,y+1/2,-z'
'x,-y+1/2,z'
loop_
_atom_site_label
_atom_site_type_symbol
_atom_site_fract_x
_atom_site_fract_y
_atom_site_fract_z
Er1 Er 0.250 0.250 0.120
Se1 Se 0.250 0.750 0.089
I1 I 0.250 0.750 0.643
# Formation energy from raw total energies   -1658 meV/atom

# 7
# MnV2Os PBEsol optimized geometry
data_MnV2Os
_cell_length_a 5.845
_cell_length_b 5.845
_cell_length_c 5.845
_cell_angle_alpha 90.00
_cell_angle_beta 90.00
_cell_angle_gamma 90.00
_space_group_name_H-M_alt 'F m -3 m'
_space_group_IT_number 225
_space_group_name_Hall '-F 4 2 3'
loop_
_atom_site_label
_atom_site_type_symbol
_atom_site_fract_x
_atom_site_fract_y
_atom_site_fract_z
Mn1 Mn 0.000 0.000 0.000
V1 V 0.250 0.250 0.250
Os1 Os 0.000 0.000 0.500
# Formation enthalpy at 0 K   -0.2782 eV/atom

# 8
# H3WN PBEsol optimized geometry
data_H3WN
_cell_length_a 3.358
_cell_length_b 3.358
_cell_length_c 3.358
_cell_angle_alpha 90.00
_cell_angle_beta 90.00
_cell_angle_gamma 90.00
_space_group_name_H-M_alt 'P m -3 m'
_space_group_IT_number 221
_space_group_name_Hall '-P 4 2 3'
loop_
_atom_site_label
_atom_site_type_symbol
_atom_site_fract_x
_atom_site_fract_y
_atom_site_fract_z
H1 H 0.000 0.000 0.500
W1 W 0.000 0.000 0.000
N1 N 0.500 0.500 0.500
# Total energy   -5.062 eV/atom